1.
PBE RbHfNO, relaxed; space group = No. 129; magnetic moment = 0.0 μB per cell; calculated total energy = -7.379 eV/atom; excess energy over the best structure of this formula in the dataset = 0.448 eV per atom
1.0
4.360 0.000 0.000
0.000 4.360 0.000
0.000 0.000 8.082
Rb Hf N O
2 2 2 2
Direct
0.250 0.750 0.000 Rb
0.750 0.250 0.000 Rb
0.250 0.250 0.428 Hf
0.750 0.750 0.572 Hf
0.250 0.250 0.204 N
0.750 0.750 0.796 N
0.250 0.750 0.500 O
0.750 0.250 0.500 O

---

2.
PBE RbHfNO, relaxed; space group = No. 129; magnetic moment = 2.0 μB per cell; calculated total energy = -6.662 eV/atom; excess energy over the best structure of this formula in the dataset = 1.164 eV per atom
1.0
4.222 0.000 0.000
0.000 4.222 0.000
0.000 0.000 11.118
Rb Hf N O
2 2 2 2
Direct
0.250 0.250 0.149 Rb
0.750 0.750 0.851 Rb
0.250 0.750 0.500 Hf
0.750 0.250 0.500 Hf
0.250 0.250 0.535 N
0.750 0.750 0.465 N
0.250 0.750 0.000 O
0.750 0.250 0.000 O

---

3.
PBE HfReNO, relaxed; space group = No. 129; magnetic moment = 0.0 μB per cell; calculated total energy = -9.602 eV/atom; excess energy over the best structure of this formula in the dataset = 0.902 eV per atom
1.0
4.439 0.000 0.000
0.000 4.439 0.000
0.000 0.000 4.458
Hf Re N O
2 2 2 2
Direct
0.250 0.750 0.000 Hf
0.750 0.250 0.000 Hf
0.250 0.250 0.426 Re
0.750 0.750 0.574 Re
0.250 0.250 0.923 N
0.750 0.750 0.077 N
0.250 0.750 0.500 O
0.750 0.250 0.500 O

---

4.
PBE HfReNO, relaxed; space group = No. 26; magnetic moment = 0.0 μB per cell; calculated total energy = -9.962 eV/atom; excess energy over the best structure of this formula in the dataset = 0.541 eV per atom
1.0
3.120 0.000 0.000
0.000 5.628 0.000
0.000 0.000 5.791
Hf Re N O
2 2 2 2
Direct
0.000 0.127 0.000 Hf
0.000 0.873 0.500 Hf
0.500 0.306 0.399 Re
0.500 0.694 0.899 Re
0.500 0.387 0.082 N
0.500 0.613 0.582 N
0.000 0.214 0.643 O
0.000 0.786 0.143 O

---

5.
PBE HfReNO, relaxed; space group = No. 29; magnetic moment = 0.0 μB per cell; calculated total energy = -10.504 eV/atom; excess energy over the best structure of this formula in the dataset = 0.000 eV per atom
1.0
5.317 0.000 0.000
0.000 7.343 0.000
0.000 0.000 4.947
Hf Re N O
4 4 4 4
Direct
0.031 0.155 0.000 Hf
0.469 0.155 0.500 Hf
0.531 0.845 0.000 Hf
0.969 0.845 0.500 Hf
0.105 0.480 0.698 Re
0.395 0.480 0.198 Re
0.605 0.520 0.698 Re
0.895 0.520 0.198 Re
0.110 0.310 0.363 N
0.390 0.310 0.863 N
0.610 0.690 0.363 N
0.890 0.690 0.863 N
0.246 0.970 0.743 O
0.254 0.970 0.243 O
0.746 0.030 0.743 O
0.754 0.030 0.243 O

---

6.
PBE HfReNO, relaxed; space group = No. 129; magnetic moment = 0.0 μB per cell; calculated total energy = -9.976 eV/atom; excess energy over the best structure of this formula in the dataset = 0.528 eV per atom
1.0
3.786 0.000 0.000
0.000 3.786 0.000
0.000 0.000 6.784
Hf Re N O
2 2 2 2
Direct
0.250 0.250 0.156 Hf
0.750 0.750 0.844 Hf
0.250 0.750 0.500 Re
0.750 0.250 0.500 Re
0.250 0.250 0.642 N
0.750 0.750 0.358 N
0.250 0.750 0.000 O
0.750 0.250 0.000 O